1.
This record from Alexandria describes a relaxed LiAl2AsC crystal. The functional is GGA-PBE.

Cell and atoms, written as extended XYZ:
```
5
Lattice="4.0026 0.0000 0.0000 0.0000 4.0026 0.0000 0.0000 0.0000 4.1718" Properties=species:S:1:pos:R:3 pbc="T T T"
Li 0.0000 0.0000 0.0000
Al 0.0000 2.0013 2.0859
Al 2.0013 0.0000 2.0859
As 2.0013 2.0013 0.0000
C 0.0000 0.0000 2.0859
```

Output
ΔH_f (0 K) ... -0.067 eV per atom
Symmetry ... P4/mmm, No. 123



2.
This record from Alexandria describes a relaxed HgAsP2 crystal. The functional is GGA-PBE.

Cell and atoms, written as extended XYZ:
```
4
Lattice="-1.6994 2.3368 4.8057 1.6994 -2.3368 4.8057 1.6994 2.3368 -4.8057" Properties=species:S:1:pos:R:3 pbc="T T T"
Hg 0.0000 0.0000 0.0000
As 0.0000 0.0000 4.8057
P 1.6994 0.0000 2.8102
P 0.0000 2.3368 1.9956
```

Output
ΔH_f (0 K) ... 0.648 eV per atom
Symmetry ... Immm, No. 71
Distance to the lowest polymorph of the same formula ... 45.35 kJ/mol of atoms



3.
This record from Alexandria describes a relaxed LaSbSe2 crystal. The functional is GGA-PBE.

Cell and atoms, written as extended XYZ:
```
4
Lattice="3.8004 0.0000 0.0000 0.0000 3.8004 0.0000 0.0000 0.0000 7.1749" Properties=species:S:1:pos:R:3 pbc="T T T"
La 0.0000 0.0000 0.0000
Sb 0.0000 0.0000 3.5875
Se 1.9002 1.9002 1.6041
Se 1.9002 1.9002 5.5708
```

Output
Symmetry ... P4/mmm, No. 123
Distance to the lowest polymorph of the same formula ... 24.62 kJ/mol of atoms
E_form (uncorrected) ... -872 meV per atom



4.
This record from Alexandria describes a relaxed MnSi2Os2 crystal. The functional is GGA-PBE.

Cell and atoms, written as extended XYZ:
```
5
Lattice="-2.0191 2.0191 4.6725 2.0191 -2.0191 4.6725 2.0191 2.0191 -4.6725" Properties=species:S:1:pos:R:3 pbc="T T T"
Mn 0.0000 0.0000 0.0000
Si 0.0000 0.0000 3.5592
Si 0.0000 0.0000 5.7859
Os 2.0191 0.0000 2.3363
Os 0.0000 2.0191 2.3363
```

Output
Symmetry ... I4/mmm, No. 139
Distance to the lowest polymorph of the same formula ... 44.22 kJ/mol of atoms
E_form (uncorrected) ... 346 meV per atom



5.
This record from Alexandria describes a relaxed Nd2Sm5ErSc crystal. The functional is GGA-PBE.

Cell and atoms, written as extended XYZ:
```
18
Lattice="2.6976 -11.0002 0.0000 2.6976 11.0002 0.0000 0.0000 0.0000 10.1373" Properties=species:S:1:pos:R:3 pbc="T T T"
Nd 2.6976 8.4457 5.0687
Nd 2.6976 8.4397 10.0673
Nd 2.6976 -8.4457 0.0000
Nd 2.6976 -8.4397 4.9986
Sm 2.6976 -10.9921 2.4993
Sm 2.6976 10.9921 7.5680
Sm 2.6976 4.8940 5.6722
Sm 2.6976 4.8863 9.4715
Sm 2.6976 2.8037 2.5005
Sm 2.6976 0.0003 5.0333
Sm 2.6976 -0.0003 10.1019
Sm 2.6976 -2.8037 7.5692
Sm 2.6976 -4.8940 0.6036
Sm 2.6976 -4.8863 4.4028
Er 2.6976 2.2511 7.5674
Er 2.6976 -2.2511 2.4987
Sc 2.6976 6.3164 2.5027
Sc 2.6976 -6.3164 7.5713
```

Output
ΔH_f (0 K) ... 0.121 eV per atom
Symmetry ... Cmc2_1, No. 36



6.
This record from Alexandria describes a relaxed Mn4ZnSb crystal. The functional is GGA-PBE.

Cell and atoms, written as extended XYZ:
```
6
Lattice="0.0000 3.4538 3.4538 3.4538 0.0000 3.4538 3.4538 3.4538 0.0000" Properties=species:S:1:pos:R:3 pbc="T T T"
Mn 0.8577 0.8577 0.8577
Mn 2.5961 2.5961 0.8577
Mn 2.5961 0.8577 2.5961
Mn 0.8577 2.5961 2.5961
Zn 5.1807 5.1807 5.1807
Sb 3.4538 3.4538 3.4538
```

Output
Symmetry ... F-43m, No. 216
E_form (uncorrected) ... 327 meV per atom



no.,total energy (eV/atom)
1,-4.722
2,-3.295
3,-4.877
4,-8.149
5,-4.771
6,-6.686